1.
This record from OQMD via LeMat-Bulk describes crystalline HoNiSb at its relaxed geometry. The functional is PBE.

## Properties
final energy = -4.950 eV per atom
spin magnetization = 0.0 μB/cell

Cell: 8.004 8.004 3.660 Å, 90.00 90.00 120.00°
Fractional coordinates of all 9 atoms:
1 Ho 0.285 0.000 0.000
2 Ho 0.000 0.285 0.000
3 Ho 0.715 0.715 0.000
4 Ni 0.667 0.000 0.500
5 Ni 0.333 0.333 0.500
6 Ni 0.000 0.667 0.500
7 Sb 0.667 0.333 0.000
8 Sb 0.333 0.667 0.000
9 Sb 0.000 0.000 0.500

***

2.
This record from OQMD via LeMat-Bulk describes crystalline PmMo2 at its relaxed geometry. The functional is PBE.

## Properties
calculated formation energy = 21.47 kJ per mole of atoms
final energy = -8.591 eV per atom
energy relative to the lowest polymorph listed for this composition = 0.00 kJ per mole of atoms
spin magnetization = 0.0 μB/cell

Cell: 5.571 5.571 5.571 Å, 60.00 60.00 60.00°
Fractional coordinates of all 6 atoms:
1 Mo 0.625 0.625 0.125
2 Mo 0.625 0.125 0.625
3 Mo 0.125 0.625 0.625
4 Mo 0.625 0.625 0.625
5 Pm 0.000 0.000 0.000
6 Pm 0.250 0.250 0.250

***

3.
This record from OQMD via LeMat-Bulk describes crystalline PaSnIr at its relaxed geometry. The functional is PBE.

## Properties
final energy = -7.219 eV per atom
spin magnetization = 0.0 μB/cell

Cell: 4.692 4.692 4.692 Å, 60.00 60.00 60.00°
Fractional coordinates of all 3 atoms:
1 Ir 0.250 0.250 0.250
2 Pa 0.750 0.750 0.750
3 Sn 0.000 0.000 0.000